(1)
Here is a geometry-optimized Nd2HgPb9 structure from the Alexandria database. Energies are from PBE.

Computed properties:
Its symmetry is No. 123. Its energy relative to the elements is -232 meV/atom. Its crystal system is tetragonal. The value obtained for the total energy is -46.0 eV per formula unit.

```
Nd2HgPb9
1.0
4.808 0.000 0.000
0.000 4.808 0.000
0.000 0.000 15.645
Nd Hg Pb
2 1 9
Direct
0.000 0.000 0.153 Nd
0.000 0.000 0.847 Nd
0.000 0.000 0.500 Hg
0.000 0.500 0.000 Pb
0.000 0.500 0.332 Pb
0.000 0.500 0.668 Pb
0.500 0.000 0.000 Pb
0.500 0.000 0.332 Pb
0.500 0.000 0.668 Pb
0.500 0.500 0.171 Pb
0.500 0.500 0.500 Pb
0.500 0.500 0.829 Pb
```

---

(2)
Here is a geometry-optimized Nd2HgPb5 structure from the Alexandria database. Energies are from PBE.

Computed properties:
Its symmetry is No. 55. Its energy relative to the elements is -395 meV/atom. Its crystal system is orthorhombic. The value obtained for the total energy is -31.5 eV per formula unit.

```
Nd2HgPb5
1.0
6.893 0.000 0.000
0.000 13.806 0.000
0.000 0.000 4.885
Nd Hg Pb
4 2 10
Direct
0.248 0.125 0.000 Nd
0.252 0.625 0.000 Nd
0.748 0.375 0.000 Nd
0.752 0.875 0.000 Nd
0.000 0.500 0.500 Hg
0.500 0.000 0.500 Hg
0.000 0.000 0.500 Pb
0.005 0.749 0.500 Pb
0.244 0.377 0.000 Pb
0.256 0.877 0.000 Pb
0.495 0.249 0.500 Pb
0.500 0.500 0.500 Pb
0.505 0.751 0.500 Pb
0.744 0.123 0.000 Pb
0.756 0.623 0.000 Pb
0.995 0.251 0.500 Pb
```

---

(3)
Here is a geometry-optimized Nd2HgPb structure from the Alexandria database. Energies are from PBE.

Computed properties:
Its symmetry is No. 123. Its energy relative to the elements is -506 meV/atom. Its crystal system is tetragonal. The value obtained for the total energy is -15.6 eV per formula unit.

```
Nd2HgPb
1.0
5.246 0.000 0.000
0.000 5.246 0.000
0.000 0.000 4.260
Nd Hg Pb
2 1 1
Direct
0.000 0.500 0.000 Nd
0.500 0.000 0.000 Nd
0.000 0.000 0.500 Hg
0.500 0.500 0.500 Pb
```

---

(4)
Here is a geometry-optimized Nd4Hg7Pb structure from the Alexandria database. Energies are from PBE.

Computed properties:
Its symmetry is No. 12. Its energy relative to the elements is -270 meV/atom. Its crystal system is monoclinic. The value obtained for the total energy is -28.1 eV per formula unit.

```
Nd4Hg7Pb
1.0
6.550 -2.828 0.000
6.550 2.828 0.000
-6.091 0.000 9.535
Nd Hg Pb
4 7 1
Direct
0.085 0.085 0.278 Nd
0.246 0.246 0.831 Nd
0.754 0.754 0.169 Nd
0.915 0.915 0.722 Nd
0.000 0.000 0.500 Hg
0.136 0.136 0.034 Hg
0.300 0.300 0.589 Hg
0.425 0.425 0.162 Hg
0.575 0.575 0.838 Hg
0.700 0.700 0.411 Hg
0.864 0.864 0.966 Hg
0.500 0.500 0.500 Pb
```

---

(5)
Here is a geometry-optimized Nd3Hg5Pb structure from the Alexandria database. Energies are from PBE.

Computed properties:
Its symmetry is No. 193. Its energy relative to the elements is -447 meV/atom. Its crystal system is hexagonal. The value obtained for the total energy is -23.5 eV per formula unit.

```
Nd3Hg5Pb
1.0
9.228 0.000 0.000
-4.614 7.991 0.000
0.000 0.000 6.585
Nd Hg Pb
6 10 2
Direct
0.000 0.336 0.250 Nd
0.000 0.664 0.750 Nd
0.336 0.000 0.250 Nd
0.336 0.336 0.750 Nd
0.664 0.000 0.750 Nd
0.664 0.664 0.250 Nd
0.000 0.337 0.750 Hg
0.000 0.663 0.250 Hg
0.333 0.667 0.000 Hg
0.333 0.667 0.500 Hg
0.337 0.000 0.750 Hg
0.337 0.337 0.250 Hg
0.663 0.000 0.250 Hg
0.663 0.663 0.750 Hg
0.667 0.333 0.000 Hg
0.667 0.333 0.500 Hg
0.000 0.000 0.000 Pb
0.000 0.000 0.500 Pb
```

---

(6)
Here is a geometry-optimized Nd8Hg2Pb structure from the Alexandria database. Energies are from PBE.

Computed properties:
Its symmetry is No. 12. Its energy relative to the elements is -266 meV/atom. Its crystal system is monoclinic. The value obtained for the total energy is -45.4 eV per formula unit.

```
Nd8Hg2Pb
1.0
8.463 -2.730 0.000
8.463 2.730 0.000
-4.455 0.000 7.620
Nd Hg Pb
8 2 1
Direct
0.068 0.068 0.221 Nd
0.143 0.143 0.697 Nd
0.318 0.318 0.543 Nd
0.405 0.405 0.047 Nd
0.595 0.595 0.953 Nd
0.682 0.682 0.457 Nd
0.857 0.857 0.303 Nd
0.932 0.932 0.779 Nd
0.219 0.219 0.113 Hg
0.781 0.781 0.887 Hg
0.500 0.500 0.500 Pb
```

---

(7)
Here is a geometry-optimized Nd8HgPb2 structure from the Alexandria database. Energies are from PBE.

Computed properties:
Its symmetry is No. 12. Its energy relative to the elements is -261 meV/atom. Its crystal system is monoclinic. The value obtained for the total energy is -48.7 eV per formula unit.

```
Nd8HgPb2
1.0
9.995 -2.660 0.000
9.995 2.660 0.000
-1.711 0.000 6.805
Nd Hg Pb
8 1 2
Direct
0.013 0.013 0.269 Nd
0.213 0.213 0.827 Nd
0.344 0.344 0.494 Nd
0.408 0.408 0.018 Nd
0.592 0.592 0.982 Nd
0.656 0.656 0.506 Nd
0.787 0.787 0.173 Nd
0.987 0.987 0.731 Nd
0.500 0.500 0.500 Hg
0.179 0.179 0.262 Pb
0.821 0.821 0.738 Pb
```

---

(8)
Here is a geometry-optimized Nd6HgPb5 structure from the Alexandria database. Energies are from PBE.

Computed properties:
Its symmetry is No. 65. Its energy relative to the elements is -508 meV/atom. Its crystal system is orthorhombic. The value obtained for the total energy is -53.5 eV per formula unit.

```
Nd6HgPb5
1.0
2.584 -7.757 0.000
2.584 7.757 0.000
0.000 0.000 8.960
Nd Hg Pb
6 1 5
Direct
0.000 0.000 0.245 Nd
0.000 0.000 0.755 Nd
0.334 0.666 0.245 Nd
0.334 0.666 0.755 Nd
0.666 0.334 0.245 Nd
0.666 0.334 0.755 Nd
0.500 0.500 0.000 Hg
0.163 0.837 0.000 Pb
0.167 0.833 0.500 Pb
0.500 0.500 0.500 Pb
0.833 0.167 0.500 Pb
0.837 0.163 0.000 Pb
```

---

(9)
Here is a geometry-optimized Nd2HgPb2 structure from the Alexandria database. Energies are from PBE.

Computed properties:
Its symmetry is No. 12. Its energy relative to the elements is -464 meV/atom. Its crystal system is monoclinic. The value obtained for the total energy is -19.6 eV per formula unit.

```
Nd2HgPb2
1.0
6.007 -2.351 0.000
6.007 2.351 0.000
-4.762 0.000 10.667
Nd Hg Pb
4 2 4
Direct
0.004 0.004 0.323 Nd
0.178 0.178 0.100 Nd
0.822 0.822 0.900 Nd
0.996 0.996 0.677 Nd
0.274 0.274 0.704 Hg
0.726 0.726 0.296 Hg
0.351 0.351 0.459 Pb
0.451 0.451 0.111 Pb
0.549 0.549 0.889 Pb
0.649 0.649 0.541 Pb
```

---

(10)
Here is a geometry-optimized Nd5Hg2Pb structure from the Alexandria database. Energies are from PBE.

Computed properties:
Its symmetry is No. 140. Its energy relative to the elements is -400 meV/atom. Its crystal system is tetragonal. The value obtained for the total energy is -31.4 eV per formula unit.

```
Nd5Hg2Pb
1.0
-4.322 4.322 6.676
4.322 -4.322 6.676
4.322 4.322 -6.676
Nd Hg Pb
10 4 2
Direct
0.000 0.000 0.000 Nd
0.006 0.506 0.809 Nd
0.197 0.006 0.500 Nd
0.303 0.803 0.809 Nd
0.494 0.303 0.500 Nd
0.500 0.500 0.000 Nd
0.506 0.697 0.500 Nd
0.697 0.197 0.191 Nd
0.803 0.994 0.500 Nd
0.994 0.494 0.191 Nd
0.139 0.361 0.500 Hg
0.361 0.861 0.221 Hg
0.639 0.139 0.779 Hg
0.861 0.639 0.500 Hg
0.250 0.250 0.000 Pb
0.750 0.750 0.000 Pb
```

---

(11)
Here is a geometry-optimized Nd7Hg2Pb2 structure from the Alexandria database. Energies are from PBE.

Computed properties:
Its symmetry is No. 65. Its energy relative to the elements is -124 meV/atom. Its crystal system is orthorhombic. The value obtained for the total energy is -42.8 eV per formula unit.

```
Nd7Hg2Pb2
1.0
4.213 -5.822 0.000
4.213 5.822 0.000
0.000 0.000 7.680
Nd Hg Pb
7 2 2
Direct
0.000 0.000 0.000 Nd
0.000 0.500 0.286 Nd
0.000 0.500 0.714 Nd
0.500 0.000 0.286 Nd
0.500 0.000 0.714 Nd
0.500 0.500 0.247 Nd
0.500 0.500 0.753 Nd
0.281 0.719 0.000 Hg
0.719 0.281 0.000 Hg
0.182 0.182 0.500 Pb
0.818 0.818 0.500 Pb
```

---

(12)
Here is a geometry-optimized NdHg3Pb structure from the Alexandria database. Energies are from PBE.

Computed properties:
Its symmetry is No. 62. Its energy relative to the elements is -244 meV/atom. As for the distance to the lowest polymorph of the same formula: 0.011 eV/atom. Its crystal system is orthorhombic. The value obtained for the total energy is -10.6 eV per formula unit.

```
NdHg3Pb
1.0
8.367 0.000 0.000
0.000 7.394 0.000
0.000 0.000 8.775
Nd Hg Pb
4 12 4
Direct
0.132 0.250 0.181 Nd
0.368 0.750 0.681 Nd
0.632 0.250 0.319 Nd
0.868 0.750 0.819 Nd
0.151 0.052 0.835 Hg
0.151 0.448 0.835 Hg
0.164 0.750 0.076 Hg
0.336 0.250 0.576 Hg
0.349 0.552 0.335 Hg
0.349 0.948 0.335 Hg
0.651 0.052 0.665 Hg
0.651 0.448 0.665 Hg
0.664 0.750 0.424 Hg
0.836 0.250 0.924 Hg
0.849 0.552 0.165 Hg
0.849 0.948 0.165 Hg
0.000 0.000 0.500 Pb
0.000 0.500 0.500 Pb
0.500 0.000 0.000 Pb
0.500 0.500 0.000 Pb
```

---

(13)
Here is a geometry-optimized Nd8HgPb5 structure from the Alexandria database. Energies are from PBE.

Computed properties:
Its symmetry is No. 82. Its energy relative to the elements is -523 meV/atom. Its crystal system is tetragonal. The value obtained for the total energy is -64.3 eV per formula unit.

```
Nd8HgPb5
1.0
-4.827 4.827 4.862
4.827 -4.827 4.862
4.827 4.827 -4.862
Nd Hg Pb
8 1 5
Direct
0.015 0.629 0.748 Nd
0.233 0.489 0.107 Nd
0.371 0.119 0.386 Nd
0.382 0.126 0.893 Nd
0.511 0.618 0.744 Nd
0.733 0.985 0.614 Nd
0.874 0.767 0.256 Nd
0.881 0.267 0.252 Nd
0.000 0.000 0.000 Hg
0.124 0.248 0.627 Pb
0.250 0.750 0.500 Pb
0.503 0.876 0.124 Pb
0.621 0.497 0.373 Pb
0.752 0.379 0.876 Pb
```

---

(14)
Here is a geometry-optimized Nd2Hg3Pb3 structure from the Alexandria database. Energies are from PBE.

Computed properties:
Its symmetry is No. 47. Its energy relative to the elements is -402 meV/atom. Its crystal system is orthorhombic. The value obtained for the total energy is -24.8 eV per formula unit.

```
Nd2Hg3Pb3
1.0
4.801 0.000 0.000
0.000 4.878 0.000
0.000 0.000 9.382
Nd Hg Pb
2 3 3
Direct
0.000 0.000 0.249 Nd
0.000 0.000 0.751 Nd
0.000 0.500 0.000 Hg
0.500 0.500 0.243 Hg
0.500 0.500 0.757 Hg
0.000 0.500 0.500 Pb
0.500 0.000 0.000 Pb
0.500 0.000 0.500 Pb
```

---

(15)
Here is a geometry-optimized Nd2HgPb3 structure from the Alexandria database. Energies are from PBE.

Computed properties:
Its symmetry is No. 71. Its energy relative to the elements is -205 meV/atom. As for the distance to the lowest polymorph of the same formula: 0.272 eV/atom. Its crystal system is orthorhombic. The value obtained for the total energy is -22.2 eV per formula unit.

```
Nd2HgPb3
1.0
-1.759 2.943 9.198
1.759 -2.943 9.198
1.759 2.943 -9.198
Nd Hg Pb
2 1 3
Direct
0.156 0.156 0.000 Nd
0.844 0.844 0.000 Nd
0.500 0.500 0.000 Hg
0.000 0.500 0.500 Pb
0.333 0.333 0.000 Pb
0.667 0.667 0.000 Pb
```

---

(16)
Here is a geometry-optimized Nd4HgPb3 structure from the Alexandria database. Energies are from PBE.

Computed properties:
Its symmetry is No. 139. Its energy relative to the elements is -507 meV/atom. Its crystal system is tetragonal. The value obtained for the total energy is -34.6 eV per formula unit.

```
Nd4HgPb3
1.0
-2.582 2.582 8.923
2.582 -2.582 8.923
2.582 2.582 -8.923
Nd Hg Pb
4 1 3
Direct
0.122 0.622 0.500 Nd
0.378 0.878 0.500 Nd
0.622 0.122 0.500 Nd
0.878 0.378 0.500 Nd
0.000 0.000 0.000 Hg
0.249 0.249 0.000 Pb
0.500 0.500 0.000 Pb
0.751 0.751 0.000 Pb
```

---

(17)
Here is a geometry-optimized NdHgPb4 structure from the Alexandria database. Energies are from PBE.

Computed properties:
Its symmetry is No. 216. Its energy relative to the elements is -76 meV/atom. Its crystal system is cubic. The value obtained for the total energy is -20.4 eV per formula unit.

```
NdHgPb4
1.0
0.000 4.560 4.560
4.560 0.000 4.560
4.560 4.560 0.000
Nd Hg Pb
1 1 4
Direct
0.000 0.000 0.000 Nd
0.250 0.250 0.250 Hg
0.123 0.626 0.626 Pb
0.626 0.123 0.626 Pb
0.626 0.626 0.123 Pb
0.626 0.626 0.626 Pb
```

---

(18)
Here is a geometry-optimized Nd6HgPb2 structure from the Alexandria database. Energies are from PBE.

Computed properties:
Its symmetry is No. 189. Its energy relative to the elements is -383 meV/atom. Its crystal system is hexagonal. The value obtained for the total energy is -39.8 eV per formula unit.

```
Nd6HgPb2
1.0
8.661 0.000 0.000
-4.330 7.500 0.000
0.000 0.000 4.508
Nd Hg Pb
6 1 2
Direct
0.000 0.409 0.000 Nd
0.000 0.745 0.500 Nd
0.255 0.255 0.500 Nd
0.409 0.000 0.000 Nd
0.591 0.591 0.000 Nd
0.745 0.000 0.500 Nd
0.000 0.000 0.000 Hg
0.333 0.667 0.500 Pb
0.667 0.333 0.500 Pb
```

---

(19)
Here is a geometry-optimized NdHgPdPb structure from the Alexandria database. Energies are from PBE.

Computed properties:
Its symmetry is No. 216. Its energy relative to the elements is -477 meV/atom. Its crystal system is cubic. The value obtained for the total energy is -15.9 eV per formula unit.

```
NdHgPdPb
1.0
0.000 3.642 3.642
3.642 0.000 3.642
3.642 3.642 0.000
Nd Hg Pd Pb
1 1 1 1
Direct
0.000 0.000 0.000 Nd
0.250 0.250 0.250 Hg
0.750 0.750 0.750 Pd
0.500 0.500 0.500 Pb
```

---

(20)
Here is a geometry-optimized PmNdHgPb structure from the Alexandria database. Energies are from PBE.

Computed properties:
Its symmetry is No. 216. Its energy relative to the elements is -505 meV/atom. Its crystal system is cubic. The value obtained for the total energy is -15.5 eV per formula unit.

```
PmNdHgPb
1.0
0.000 3.874 3.874
3.874 0.000 3.874
3.874 3.874 0.000
Pm Nd Hg Pb
1 1 1 1
Direct
0.000 0.000 0.000 Pm
0.500 0.500 0.500 Nd
0.750 0.750 0.750 Hg
0.250 0.250 0.250 Pb
```

---

(21)
Here is a geometry-optimized Pm2NdHg2Pb2 structure from the Alexandria database. Energies are from PBE.

Computed properties:
Its symmetry is No. 166. Its energy relative to the elements is -272 meV/atom. Its crystal system is trigonal. The value obtained for the total energy is -24.2 eV per formula unit.

```
Pm2NdHg2Pb2
1.0
2.558 1.477 9.214
-2.558 1.477 9.214
0.000 -2.953 9.214
Pm Nd Hg Pb
2 1 2 2
Direct
0.131 0.131 0.131 Pm
0.869 0.869 0.869 Pm
0.000 0.000 0.000 Nd
0.433 0.433 0.433 Hg
0.567 0.567 0.567 Hg
0.273 0.273 0.273 Pb
0.727 0.727 0.727 Pb
```

---

(22)
Here is a geometry-optimized PmNd2Hg2Pb2 structure from the Alexandria database. Energies are from PBE.

Computed properties:
Its symmetry is No. 166. Its energy relative to the elements is -268 meV/atom. Its crystal system is trigonal. The value obtained for the total energy is -24.2 eV per formula unit.

```
PmNd2Hg2Pb2
1.0
2.558 1.477 9.249
-2.558 1.477 9.249
0.000 -2.954 9.249
Pm Nd Hg Pb
1 2 2 2
Direct
0.000 0.000 0.000 Pm
0.131 0.131 0.131 Nd
0.869 0.869 0.869 Nd
0.432 0.432 0.432 Hg
0.568 0.568 0.568 Hg
0.274 0.274 0.274 Pb
0.726 0.726 0.726 Pb
```